<w>
Computed, not measured: a geometry-optimized NaTl4 structure at the PBE level of DFT.

a = 3.9936 Å, b = 3.9936 Å, c = 18.6411 Å
α = 90.00°, β = 90.00°, γ = 90.00°
Space group I4/mmm (No. 139)
Symmetry-distinct sites (fractional):
Na  0.0000  0.0000  0.0000 [2 per cell]
Tl  0.0000  0.0000  0.1994 [4 per cell]
Tl  0.0000  0.0000  0.3992 [4 per cell]


<x>
Computed, not measured: a geometry-optimized NaTl4 structure at the PBE level of DFT.

a = 9.9724 Å, b = 9.9724 Å, c = 6.5612 Å
α = 90.00°, β = 90.00°, γ = 90.00°
Space group I4_1/amd (No. 141, origin choice 2)
Symmetry-distinct sites (fractional):
Na  0.0000  0.2500  0.3750 [4 per cell]
Tl  0.0000  0.0482  0.7549 [16 per cell]


<y>
Computed, not measured: a geometry-optimized NaTl4 structure at the PBE level of DFT.

a = 5.6330 Å, b = 5.6330 Å, c = 5.6330 Å
α = 90.00°, β = 90.00°, γ = 90.00°
Space group Pm-3m (No. 221)
Symmetry-distinct sites (fractional):
Na  0.0000  0.0000  0.0000 [1 per cell]
Tl  0.0000  0.0000  0.5000 [3 per cell]
Tl  0.5000  0.5000  0.5000 [1 per cell]


Energy above the most stable structure, in meV per atom: <w> 0; <x> 133; <y> 349


<w>
Computed, not measured: a geometry-optimized Na3Tl2 structure at the PBE level of DFT.

a = 9.3446 Å, b = 9.3446 Å, c = 18.8760 Å
α = 90.00°, β = 90.00°, γ = 120.00°
Space group R-3 (No. 148, hexagonal axes)
Symmetry-distinct sites (fractional):
Na  0.0000  0.0000  0.0000 [3 per cell]
Na  0.0000  0.0000  0.2191 [6 per cell]
Na  0.0088  0.2469  0.3959 [18 per cell]
Tl  0.0334  0.2949  0.8918 [18 per cell]


<x>
Computed, not measured: a geometry-optimized Na3Tl2 structure at the PBE level of DFT.

a = 6.7312 Å, b = 6.7312 Å, c = 24.2929 Å
α = 90.00°, β = 90.00°, γ = 120.00°
Space group R-3c (No. 167, hexagonal axes)
Symmetry-distinct sites (fractional):
Na  0.0000  0.4982  0.2500 [18 per cell]
Tl  0.0000  0.0000  0.1881 [12 per cell]


Energy above the most stable structure, in meV per atom: <w> 0; <x> 26


<w>
Computed, not measured: a geometry-optimized Na7Tl5 structure at the PBE level of DFT.

a = 17.9822 Å, b = 3.5507 Å, c = 12.5820 Å
α = 90.00°, β = 118.44°, γ = 90.00°
Space group C2/m (No. 12)
Symmetry-distinct sites (fractional):
Na  0.0000  0.0000  0.0000 [2 per cell]
Na  0.0325  0.5000  0.2565 [4 per cell]
Na  0.1456  0.0000  0.7589 [4 per cell]
Na  0.1692  0.0000  0.5132 [4 per cell]
Tl  0.0000  0.5000  0.5000 [2 per cell]
Tl  0.1634  0.5000  0.9979 [4 per cell]
Tl  0.1899  0.0000  0.2442 [4 per cell]


<x>
Computed, not measured: a geometry-optimized Na7Tl5 structure at the PBE level of DFT.

a = 9.3797 Å, b = 5.3799 Å, c = 14.7355 Å
α = 90.00°, β = 100.98°, γ = 90.00°
Space group C2/m (No. 12)
Symmetry-distinct sites (fractional):
Na  0.0000  0.0000  0.0000 [2 per cell]
Na  0.0722  0.5000  0.7229 [4 per cell]
Na  0.1911  0.0000  0.5757 [4 per cell]
Na  0.2237  0.5000  0.1705 [4 per cell]
Tl  0.0000  0.5000  0.5000 [2 per cell]
Tl  0.1151  0.0000  0.3383 [4 per cell]
Tl  0.1512  0.5000  0.9446 [4 per cell]


Energy above the most stable structure, in meV per atom: <w> 0; <x> 18


<w>
Computed, not measured: a geometry-optimized Na5Tl3 structure at the PBE level of DFT.

a = 10.2914 Å, b = 8.8232 Å, c = 10.3213 Å
α = 90.00°, β = 90.00°, γ = 90.00°
Space group Cmcm (No. 63)
Symmetry-distinct sites (fractional):
Na  0.0000  0.0013  0.2500 [4 per cell]
Na  0.0000  0.2692  0.9996 [8 per cell]
Na  0.2494  0.2501  0.7500 [8 per cell]
Tl  0.0000  0.4992  0.2500 [4 per cell]
Tl  0.2373  0.0000  0.0000 [8 per cell]


<x>
Computed, not measured: a geometry-optimized Na5Tl3 structure at the PBE level of DFT.

a = 4.8236 Å, b = 4.8236 Å, c = 20.1633 Å
α = 90.00°, β = 90.00°, γ = 90.00°
Space group I-4m2 (No. 119)
Symmetry-distinct sites (fractional):
Na  0.0000  0.0000  0.0000 [2 per cell]
Na  0.0000  0.0000  0.2492 [4 per cell]
Na  0.0000  0.5000  0.1177 [4 per cell]
Tl  0.0000  0.0000  0.5000 [2 per cell]
Tl  0.0000  0.5000  0.6228 [4 per cell]


Energy above the most stable structure, in meV per atom: <w> 15; <x> 0


<w>
Computed, not measured: a geometry-optimized Na2TlV structure at the PBE level of DFT.

a = 8.5783 Å, b = 8.5783 Å, c = 5.8522 Å
α = 90.00°, β = 90.00°, γ = 90.00°
Space group I-42d (No. 122)
Symmetry-distinct sites (fractional):
Na  0.2475  0.2500  0.1250 [8 per cell]
Tl  0.0000  0.0000  0.0000 [4 per cell]
V  0.0000  0.0000  0.5000 [4 per cell]


<x>
Computed, not measured: a geometry-optimized Na2TlV structure at the PBE level of DFT.

a = 7.4028 Å, b = 7.4028 Å, c = 7.4028 Å
α = 90.00°, β = 90.00°, γ = 90.00°
Space group Fm-3m (No. 225)
Symmetry-distinct sites (fractional):
Na  0.2500  0.2500  0.2500 [8 per cell]
Tl  0.0000  0.0000  0.0000 [4 per cell]
V  0.0000  0.0000  0.5000 [4 per cell]


Energy above the most stable structure, in meV per atom: <w> 22; <x> 0


<w>
Computed, not measured: a geometry-optimized Na3TlW structure at the PBE level of DFT.

a = 5.8999 Å, b = 5.8999 Å, c = 5.8999 Å
α = 90.00°, β = 90.00°, γ = 90.00°
Space group Pm-3m (No. 221)
Symmetry-distinct sites (fractional):
Na  0.0000  0.0000  0.5000 [3 per cell]
Tl  0.5000  0.5000  0.5000 [1 per cell]
W  0.0000  0.0000  0.0000 [1 per cell]


<x>
Computed, not measured: a geometry-optimized Na3TlW structure at the PBE level of DFT.

a = 5.6839 Å, b = 5.6839 Å, c = 5.6839 Å
α = 90.00°, β = 90.00°, γ = 90.00°
Space group Pm-3m (No. 221)
Symmetry-distinct sites (fractional):
Na  0.0000  0.0000  0.5000 [3 per cell]
Tl  0.0000  0.0000  0.0000 [1 per cell]
W  0.5000  0.5000  0.5000 [1 per cell]


Energy above the most stable structure, in meV per atom: <w> 0; <x> 71